VASP calculation (PBE-GGA) on an optimized crystal structure of La3Ce4Ru4.

Cell and atoms, written as POSCAR:
```
La3Ce4Ru4
1.0
3.8218 -0.0054 0.6073
-0.1178 6.4864 0.7544
0.0549 2.0827 11.9089
La Ru Ce
3 4 4
Direct
0.3560 0.9635 0.2873
0.0000 0.0000 0.0000
0.6440 0.0366 0.7127
0.0545 0.6743 0.8933
0.7543 0.8293 0.4914
0.9455 0.3258 0.1067
0.2457 0.1708 0.5086
0.8004 0.3868 0.3985
0.4294 0.5473 0.1403
0.1996 0.6133 0.6015
0.5706 0.4527 0.8598
```

Computed properties:
- symmetry = P-1
- total DFT energy (no corrections) (eV per atom) = -7.070
- offset from the most stable computed form (meV per atom) = 85